Entry 1:
Material: HgOs2Se
Method: DFT, GGA-PBE
State: relaxed

## Properties
Formation energy (no corrections) in eV per atom: 1.06

Unit cell a=2.876 b=2.876 c=9.420 alpha=90.00 beta=90.00 gamma=120.34
Sites, in units of the cell vectors:
Hg: 0.000 0.000 0.000
Os: 0.500 0.500 0.266
Os: 0.500 0.500 0.734
Se: 0.000 0.000 0.500


Entry 2:
Material: Tb12Er3Cd
Method: DFT, GGA-PBE
State: relaxed

## Properties
Formation enthalpy at 0 K in eV/atom: -0.01

Unit cell a=4.965 b=4.965 c=20.068 alpha=90.00 beta=90.00 gamma=90.00
Sites, in units of the cell vectors:
Tb: 0.000 0.000 0.000
Tb: 0.000 0.000 0.245
Tb: 0.000 0.000 0.500
Tb: 0.000 0.000 0.755
Tb: 0.000 0.500 0.122
Tb: 0.000 0.500 0.374
Tb: 0.000 0.500 0.626
Tb: 0.000 0.500 0.878
Tb: 0.500 0.000 0.122
Tb: 0.500 0.000 0.374
Tb: 0.500 0.000 0.626
Tb: 0.500 0.000 0.878
Er: 0.500 0.500 0.248
Er: 0.500 0.500 0.500
Er: 0.500 0.500 0.752
Cd: 0.500 0.500 0.000


Entry 3:
Material: CsRbZnGeOs
Method: DFT, GGA-PBE
State: relaxed

## Properties
Formation enthalpy at 0 K in eV/atom: 0.27
E above lowest polymorph in meV per atom: 41

Unit cell a=4.316 b=4.321 c=11.496 alpha=97.43 beta=91.23 gamma=119.87
Sites, in units of the cell vectors:
Cs: 0.000 0.000 0.000
Rb: 0.512 0.960 0.575
Zn: 0.736 0.446 0.226
Ge: 0.102 0.167 0.329
Os: 0.419 0.807 0.281


Entry 4:
Material: KAg2SnSb
Method: DFT, GGA-PBE
State: relaxed

## Properties
Formation energy (no corrections) in eV per atom: -0.13

Unit cell a=7.124 b=7.124 c=7.124 alpha=143.41 beta=140.32 gamma=55.08
Sites, in units of the cell vectors:
K: 0.000 0.000 0.000
Ag: 0.615 0.615 0.000
Ag: 0.765 0.265 0.500
Sn: 0.233 0.733 0.500
Sb: 0.391 0.391 0.000


Entry 5:
Material: MgSc2Se4
Method: DFT, GGA-PBE
State: relaxed

## Properties
E above lowest polymorph in meV per atom: 0
Formation energy (no corrections) in eV per atom: -1.58

Unit cell a=7.944 b=7.944 c=7.944 alpha=60.00 beta=60.00 gamma=60.00
Sites, in units of the cell vectors:
Mg: 0.125 0.125 0.125
Mg: 0.875 0.875 0.875
Sc: 0.000 0.500 0.500
Sc: 0.500 0.000 0.500
Sc: 0.500 0.500 0.000
Sc: 0.500 0.500 0.500
Se: 0.258 0.258 0.258
Se: 0.258 0.258 0.727
Se: 0.258 0.727 0.258
Se: 0.273 0.742 0.742
Se: 0.727 0.258 0.258
Se: 0.742 0.273 0.742
Se: 0.742 0.742 0.273
Se: 0.742 0.742 0.742


Entry 6:
Material: In2PdPt
Method: DFT, GGA-PBE
State: relaxed

## Properties
Formation enthalpy at 0 K in eV/atom: -0.19

Unit cell a=5.996 b=5.996 c=5.996 alpha=103.90 beta=103.90 gamma=121.30
Sites, in units of the cell vectors:
In: 0.122 0.125 0.497
In: 0.375 0.878 0.003
In: 0.628 0.625 0.503
In: 0.875 0.372 0.997
Pd: 0.250 0.750 0.500
Pd: 0.500 0.500 0.000
Pt: 0.000 0.000 0.000
Pt: 0.750 0.250 0.500


Entry 7:
Material: Hf3FeB
Method: DFT, GGA-PBE
State: relaxed

## Properties
Formation enthalpy at 0 K in eV/atom: 0.20
E above lowest polymorph in meV per atom: 0

Unit cell a=4.487 b=4.487 c=4.487 alpha=90.00 beta=90.00 gamma=90.00
Sites, in units of the cell vectors:
Hf: 0.000 0.000 0.500
Hf: 0.000 0.500 0.000
Hf: 0.500 0.000 0.000
Fe: 0.500 0.500 0.500
B: 0.000 0.000 0.000


Entry 8:
Material: DyScAlAu
Method: DFT, GGA-PBE
State: relaxed

## Properties
Formation enthalpy at 0 K in eV/atom: -0.56

Unit cell a=4.985 b=4.985 c=4.985 alpha=60.00 beta=60.00 gamma=60.00
Sites, in units of the cell vectors:
Dy: 0.000 0.000 0.000
Sc: 0.500 0.500 0.500
Al: 0.250 0.250 0.250
Au: 0.750 0.750 0.750


Entry 9:
Material: CsB3Mo
Method: DFT, GGA-PBE
State: relaxed

## Properties
Formation enthalpy at 0 K in eV/atom: 1.23
E above lowest polymorph in meV per atom: 0

Unit cell a=4.468 b=4.468 c=4.468 alpha=90.00 beta=90.00 gamma=90.00
Sites, in units of the cell vectors:
Cs: 0.000 0.000 0.000
B: 0.000 0.500 0.500
B: 0.500 0.000 0.500
B: 0.500 0.500 0.000
Mo: 0.500 0.500 0.500


Entry 10:
Material: NaP3N
Method: DFT, GGA-PBE
State: relaxed

## Properties
E above lowest polymorph in meV per atom: 1709
Formation energy (no corrections) in eV per atom: 2.52

Unit cell a=4.904 b=4.904 c=4.904 alpha=90.00 beta=90.00 gamma=90.00
Sites, in units of the cell vectors:
Na: 0.000 0.000 0.000
P: 0.000 0.000 0.500
P: 0.000 0.500 0.000
P: 0.500 0.000 0.000
N: 0.500 0.500 0.500


Entry 11:
Material: Sm2ZrTl
Method: DFT, GGA-PBE
State: relaxed

## Properties
Formation enthalpy at 0 K in eV/atom: 0.25
E above lowest polymorph in meV per atom: 336

Unit cell a=12.067 b=12.067 c=12.067 alpha=15.98 beta=15.98 gamma=15.98
Sites, in units of the cell vectors:
Sm: 0.089 0.089 0.089
Sm: 0.911 0.911 0.911
Zr: 0.000 0.000 0.000
Tl: 0.500 0.500 0.500


Entry 12:
Material: Ca2TcRh
Method: DFT, GGA-PBE
State: relaxed

## Properties
Formation enthalpy at 0 K in eV/atom: 0.14
E above lowest polymorph in meV per atom: 0

Unit cell a=4.568 b=4.230 c=5.679 alpha=90.00 beta=113.64 gamma=90.00
Sites, in units of the cell vectors:
Ca: 0.000 0.000 0.000
Ca: 0.284 0.500 0.569
Tc: 0.591 0.500 0.183
Rh: 0.693 0.000 0.387